(1)
Computed, not measured: crystalline La2SnHgRh at its relaxed geometry at the PBE level of DFT.

Unit cell a=5.514 b=5.514 c=5.078 alpha=90.00 beta=90.00 gamma=90.00
Positions (direct):
La 0.000 0.500 0.000
La 0.500 0.000 0.000
Sn 0.000 0.000 0.500
Hg 0.500 0.500 0.500
Rh 0.000 0.000 0.000

Properties
Energy of formation, eV per formula unit: -2.7
Total energy, eV per cell: -24.222
Distance to the lowest polymorph of the same formula, eV/atom: 0.136

(2)
Computed, not measured: crystalline SrLa2HgRh at its relaxed geometry at the PBE level of DFT.

Unit cell a=5.465 b=5.465 c=5.982 alpha=90.00 beta=90.00 gamma=90.00
Positions (direct):
Sr 0.000 0.000 0.000
La 0.000 0.500 0.500
La 0.500 0.000 0.500
Hg 0.500 0.500 0.000
Rh 0.000 0.000 0.500

Properties
Energy of formation, eV per formula unit: -1.7
Total energy, eV per cell: -20.915
Distance to the lowest polymorph of the same formula, eV/atom: 0.000

(3)
Computed, not measured: crystalline Sr2LaHgRh at its relaxed geometry at the PBE level of DFT.

Unit cell a=5.909 b=5.909 c=5.349 alpha=90.00 beta=90.00 gamma=90.00
Positions (direct):
Sr 0.000 0.500 0.000
Sr 0.500 0.000 0.000
La 0.000 0.000 0.500
Hg 0.500 0.500 0.500
Rh 0.000 0.000 0.000

Properties
Energy of formation, eV per formula unit: -1.5
Total energy, eV per cell: -17.489

(4)
Computed, not measured: crystalline SrLa2HgRh at its relaxed geometry at the PBE level of DFT.

Unit cell a=5.945 b=5.945 c=4.880 alpha=90.00 beta=90.00 gamma=90.00
Positions (direct):
Sr 0.000 0.000 0.000
La 0.000 0.500 0.000
La 0.500 0.000 0.000
Hg 0.500 0.500 0.500
Rh 0.000 0.000 0.500

Properties
Energy of formation, eV per formula unit: 4.2
Total energy, eV per cell: -15.008
Distance to the lowest polymorph of the same formula, eV/atom: 1.181

(5)
Computed, not measured: crystalline SrLaHg2Rh at its relaxed geometry at the PBE level of DFT.

Unit cell a=5.500 b=5.500 c=5.057 alpha=90.00 beta=90.00 gamma=90.00
Positions (direct):
Sr 0.000 0.000 0.000
La 0.500 0.500 0.000
Hg 0.000 0.500 0.500
Hg 0.500 0.000 0.500
Rh 0.500 0.500 0.500

Properties
Energy of formation, eV per formula unit: -1.9
Total energy, eV per cell: -16.489

(6)
Computed, not measured: crystalline SrLa2HgRh at its relaxed geometry at the PBE level of DFT.

Unit cell a=5.494 b=5.494 c=5.575 alpha=90.00 beta=90.00 gamma=90.00
Positions (direct):
Sr 0.000 0.000 0.000
La 0.000 0.500 0.500
La 0.500 0.000 0.500
Hg 0.500 0.500 0.000
Rh 0.500 0.500 0.500

Properties
Energy of formation, eV per formula unit: -1.7
Total energy, eV per cell: -20.851
Distance to the lowest polymorph of the same formula, eV/atom: 0.013

(7)
Computed, not measured: crystalline LaTbHgRh at its relaxed geometry at the PBE level of DFT.

Unit cell a=5.198 b=5.198 c=5.198 alpha=60.00 beta=60.00 gamma=60.00
Positions (direct):
La 0.000 0.000 0.000
Tb 0.500 0.500 0.500
Hg 0.750 0.750 0.750
Rh 0.250 0.250 0.250

Properties
Energy of formation, eV per formula unit: -2.2
Total energy, eV per cell: -19.394

(8)
Computed, not measured: crystalline LaThHgRh at its relaxed geometry at the PBE level of DFT.

Unit cell a=4.133 b=4.133 c=8.276 alpha=104.52 beta=104.52 gamma=59.98
Positions (direct):
La 0.000 0.000 0.000
Th 0.802 0.802 0.406
Hg 0.231 0.231 0.695
Rh 0.406 0.406 0.218

Properties
Energy of formation, eV per formula unit: -2.3
Total energy, eV per cell: -22.316

(9)
Computed, not measured: crystalline La5Tl2HgRh2 at its relaxed geometry at the PBE level of DFT.

Unit cell a=12.259 b=12.259 c=3.893 alpha=90.00 beta=90.00 gamma=90.00
Positions (direct):
La 0.000 0.500 0.000
La 0.074 0.207 0.000
La 0.207 0.926 0.000
La 0.293 0.426 0.000
La 0.426 0.707 0.000
La 0.500 0.000 0.000
La 0.574 0.293 0.000
La 0.707 0.574 0.000
La 0.793 0.074 0.000
La 0.926 0.793 0.000
Tl 0.176 0.676 0.500
Tl 0.324 0.176 0.500
Tl 0.676 0.824 0.500
Tl 0.824 0.324 0.500
Hg 0.000 0.000 0.500
Hg 0.500 0.500 0.500
Rh 0.132 0.368 0.500
Rh 0.368 0.868 0.500
Rh 0.632 0.132 0.500
Rh 0.868 0.632 0.500

Properties
Energy of formation, eV per formula unit: -5.5
Total energy, eV per cell: -99.777

(10)
Computed, not measured: crystalline LaTlHgRh at its relaxed geometry at the PBE level of DFT.

Unit cell a=5.128 b=5.128 c=5.128 alpha=60.00 beta=60.00 gamma=60.00
Positions (direct):
La 0.000 0.000 0.000
Tl 0.500 0.500 0.500
Hg 0.750 0.750 0.750
Rh 0.250 0.250 0.250

Properties
Energy of formation, eV per formula unit: -1.1
Total energy, eV per cell: -16.058

(11)
Computed, not measured: crystalline LaTl2HgRh at its relaxed geometry at the PBE level of DFT.

Unit cell a=5.334 b=5.334 c=5.267 alpha=90.00 beta=90.00 gamma=90.00
Positions (direct):
La 0.000 0.000 0.000
Tl 0.000 0.500 0.500
Tl 0.500 0.000 0.500
Hg 0.500 0.500 0.000
Rh 0.000 0.000 0.500

Properties
Energy of formation, eV per formula unit: -1.6
Total energy, eV per cell: -18.929
Distance to the lowest polymorph of the same formula, eV/atom: 0.000

(12)
Computed, not measured: crystalline LaTl2HgRh at its relaxed geometry at the PBE level of DFT.

Unit cell a=5.182 b=5.182 c=5.231 alpha=90.00 beta=90.00 gamma=90.00
Positions (direct):
La 0.000 0.000 0.000
Tl 0.000 0.500 0.500
Tl 0.500 0.000 0.500
Hg 0.500 0.500 0.000
Rh 0.500 0.500 0.500

Properties
Energy of formation, eV per formula unit: -0.5
Total energy, eV per cell: -17.765
Distance to the lowest polymorph of the same formula, eV/atom: 0.233